Material: Mo2PtCl
Method: DFT, PBE
State: optimized geometry

## Properties
The value obtained for the uncorrected energy is -6.98 eV/atom. As for the density of states at the Fermi level: 0.624 states/eV/atom. As for the space-group type: No. 123. Its relative energy among the computed polymorphs is 0.353 eV/atom. The magnetic moment is 0.0 μB per cell. The formation energy without anion corrections is 0.40 eV per atom.

abc: 2.8096 4.6996 4.6996
angles: 90.00 90.00 90.00
With the nearest neighbours (Å) after each atom.
Sites, in units of the cell vectors:
1 Pt 0.5000 0.5000 0.0000  8 Mo 2.74, 2 Pt 2.81
2 Cl 0.5000 0.0000 0.5000  8 Mo 2.74, 2 Cl 2.81
3 Mo 0.0000 0.5000 0.5000  4 Cl 2.74, 4 Pt 2.74, 2 Mo 2.81
4 Mo 0.0000 0.0000 0.0000  4 Cl 2.74, 4 Pt 2.74, 2 Mo 2.81

Material: Sn3AsPd3
Method: DFT, PBE
State: optimized geometry

## Properties
The value obtained for the uncorrected energy is -4.87 eV/atom. As for the density of states at the Fermi level: 0.409 states/eV/atom. As for the space-group type: No. 12. Its formation energy is -265 meV/atom. The magnetic moment is 0.0 μB per cell.

abc: 7.0141 7.0141 6.6132
angles: 90.28 90.28 111.74
With the nearest neighbours (Å) after each atom.
Sites, in units of the cell vectors:
1 Sn 0.2343 0.7657 0.0000  4 Pd 2.81-3.04
2 Sn 0.6062 0.6062 0.3155  3 Pd 2.62-2.85
3 Sn 0.3938 0.3938 0.6845  3 Pd 2.62-2.85
4 Sn 0.8631 0.1369 0.5000  6 Pd 2.69-2.98
5 Sn 0.1369 0.8631 0.5000  6 Pd 2.69-2.98
6 Sn 0.7657 0.2343 0.0000  4 Pd 2.81-3.04
7 Pd 0.4759 0.8222 0.6520  1 As 2.52, 2 Sn 2.69-2.81
8 Pd 0.5241 0.1778 0.3480  1 As 2.52, 2 Sn 2.69-2.81
9 Pd 0.8222 0.4759 0.6520  1 As 2.52, 2 Sn 2.69-2.81
10 Pd 0.0837 0.0837 0.8237  2 As 2.54, 3 Sn 2.62-2.74, 1 Pd 2.69
11 Pd 0.1778 0.5241 0.3480  1 As 2.52, 2 Sn 2.69-2.81
12 Pd 0.9163 0.9163 0.1763  2 As 2.54, 3 Sn 2.62-2.74, 1 Pd 2.69
13 As 0.7608 0.7608 0.8390  4 Pd 2.52-2.54
14 As 0.2392 0.2392 0.1610  4 Pd 2.52-2.54

Material: TmTlHg
Method: DFT, PBE
State: optimized geometry

## Properties
The value obtained for the uncorrected energy is -2.60 eV/atom. As for the density of states at the Fermi level: 0.581 states/eV/atom. As for the space-group type: No. 107. Its relative energy among the computed polymorphs is 0.069 eV/atom. Its formation energy is -216 meV/atom. The magnetic moment is 0.2 μB per cell.

abc: 3.6436 3.6436 6.3792
angles: 106.59 106.59 90.00
With the nearest neighbours (Å) after each atom.
Sites, in units of the cell vectors:
1 Tl 0.2810 0.2810 0.5621  4 Hg 3.25, 4 Tm 3.30, 4 Tl 3.64
2 Tm 0.9583 0.9583 0.9167  4 Hg 3.13, 4 Tl 3.30
3 Hg 0.6106 0.6106 0.2213  4 Tm 3.13, 4 Tl 3.25